Record 1
Material: La2TcGe2
Method: DFT, PBE
State: optimized geometry

Output
Formation energy from the elements = -267 kJ/mol of formula units
Uncorrected energy = -6.45 eV per atom
Relative energy among the computed polymorphs = 0.000 kcal/mol of atoms
DOS at the Fermi energy = 8.5 states/eV per cell

a b c (Å): 6.283 6.561 7.845
angles (deg): 114.72 113.61 90.00
Atoms (fractional coordinates):
La 0.141 0.345 0.282
La 0.641 0.937 0.282
La 0.859 0.655 0.718
La 0.359 0.063 0.718
Ge 0.895 0.176 0.790
Ge 0.605 0.387 0.210
Ge 0.105 0.824 0.210
Ge 0.395 0.613 0.790
Tc 0.250 0.500 0.000
Tc 0.750 0.500 0.000


Record 2
Material: Ho5Sb2C2
Method: DFT, PBE
State: optimized geometry

Output
Uncorrected energy = -6.02 eV per atom
ΔE_f (raw) = -0.51 eV/atom
DOS at the Fermi energy = 2.6 states/eV per cell

a b c (Å): 5.152 7.062 6.981
angles (deg): 109.98 90.00 111.39
Atoms (fractional coordinates):
Ho 0.663 0.327 0.905
Ho 0.151 0.302 0.556
Ho 0.000 0.000 0.000
Ho 0.849 0.698 0.444
Ho 0.337 0.673 0.095
C 0.848 0.697 0.123
C 0.152 0.303 0.877
Sb 0.600 0.200 0.306
Sb 0.400 0.800 0.694